1.
Computed, not measured: an optimized crystal structure of Ac5Ag12Ir3 at the GGA-PBE level of DFT.

M_tot	0.0000	μB/atom
formation enthalpy at 0 K	10.8	eV/f.u.
space-group type	Ia-3d

Lattice parameters (Å, degrees): 14.5269 14.5269 14.5269 109.47 109.47 109.47
Fractional coordinates of all 80 atoms:
Ac (0.0000, 0.0000, 0.0000)
Ac (0.0000, 0.0000, 0.5000)
Ac (0.0000, 0.5000, 0.0000)
Ac (0.0000, 0.5000, 0.5000)
Ac (0.1250, 0.7500, 0.8750)
Ac (0.1250, 0.8750, 0.2500)
Ac (0.2500, 0.1250, 0.8750)
Ac (0.2500, 0.6250, 0.3750)
Ac (0.3750, 0.2500, 0.6250)
Ac (0.3750, 0.6250, 0.7500)
Ac (0.5000, 0.0000, 0.0000)
Ac (0.5000, 0.0000, 0.5000)
Ac (0.5000, 0.5000, 0.0000)
Ac (0.5000, 0.5000, 0.5000)
Ac (0.6250, 0.3750, 0.2500)
Ac (0.6250, 0.7500, 0.3750)
Ac (0.7500, 0.3750, 0.6250)
Ac (0.7500, 0.8750, 0.1250)
Ac (0.8750, 0.1250, 0.7500)
Ac (0.8750, 0.2500, 0.1250)
Ag (0.0585, 0.6478, 0.4025)
Ag (0.0585, 0.9107, 0.6560)
Ag (0.0893, 0.2453, 0.1478)
Ag (0.0893, 0.3440, 0.9415)
Ag (0.0975, 0.7453, 0.6560)
Ag (0.0975, 0.8522, 0.4415)
Ag (0.1478, 0.0893, 0.2453)
Ag (0.1478, 0.5585, 0.9025)
Ag (0.1560, 0.2453, 0.5975)
Ag (0.1560, 0.4107, 0.5585)
Ag (0.2453, 0.1478, 0.0893)
Ag (0.2453, 0.5975, 0.1560)
Ag (0.2547, 0.3440, 0.9025)
Ag (0.2547, 0.4107, 0.3522)
Ag (0.3440, 0.9025, 0.2547)
Ag (0.3440, 0.9415, 0.0893)
Ag (0.3522, 0.2547, 0.4107)
Ag (0.3522, 0.5975, 0.9415)
Ag (0.4025, 0.0585, 0.6478)
Ag (0.4025, 0.8440, 0.7547)
Ag (0.4107, 0.3522, 0.2547)
Ag (0.4107, 0.5585, 0.1560)
Ag (0.4415, 0.0975, 0.8522)
Ag (0.4415, 0.8440, 0.5893)
Ag (0.5585, 0.1560, 0.4107)
Ag (0.5585, 0.9025, 0.1478)
Ag (0.5893, 0.4415, 0.8440)
Ag (0.5893, 0.6478, 0.7453)
Ag (0.5975, 0.1560, 0.2453)
Ag (0.5975, 0.9415, 0.3522)
Ag (0.6478, 0.4025, 0.0585)
Ag (0.6478, 0.7453, 0.5893)
Ag (0.6560, 0.0585, 0.9107)
Ag (0.6560, 0.0975, 0.7453)
Ag (0.7453, 0.5893, 0.6478)
Ag (0.7453, 0.6560, 0.0975)
Ag (0.7547, 0.4025, 0.8440)
Ag (0.7547, 0.8522, 0.9107)
Ag (0.8440, 0.5893, 0.4415)
Ag (0.8440, 0.7547, 0.4025)
Ag (0.8522, 0.4415, 0.0975)
Ag (0.8522, 0.9107, 0.7547)
Ag (0.9025, 0.1478, 0.5585)
Ag (0.9025, 0.2547, 0.3440)
Ag (0.9107, 0.6560, 0.0585)
Ag (0.9107, 0.7547, 0.8522)
Ag (0.9415, 0.0893, 0.3440)
Ag (0.9415, 0.3522, 0.5975)
Ir (0.1250, 0.2500, 0.3750)
Ir (0.1250, 0.3750, 0.7500)
Ir (0.2500, 0.3750, 0.1250)
Ir (0.2500, 0.8750, 0.6250)
Ir (0.3750, 0.1250, 0.2500)
Ir (0.3750, 0.7500, 0.1250)
Ir (0.6250, 0.2500, 0.8750)
Ir (0.6250, 0.8750, 0.7500)
Ir (0.7500, 0.1250, 0.3750)
Ir (0.7500, 0.6250, 0.8750)
Ir (0.8750, 0.6250, 0.2500)
Ir (0.8750, 0.7500, 0.6250)

=====

2.
Computed, not measured: an optimized crystal structure of Ac6AgIr3 at the GGA-PBE level of DFT.

M_tot	0.0000	μB/atom
formation enthalpy at 0 K	-5.6	eV/f.u.
space-group type	P2_1/m

Lattice parameters (Å, degrees): 12.6772 4.4330 13.1100 90.00 111.34 90.00
Fractional coordinates of all 20 atoms:
Ac (0.0412, 0.2500, 0.3835)
Ac (0.0988, 0.7500, 0.9399)
Ac (0.2459, 0.2500, 0.7832)
Ac (0.2508, 0.7500, 0.2715)
Ac (0.4144, 0.2500, 0.5676)
Ac (0.4406, 0.2500, 0.1057)
Ac (0.5594, 0.7500, 0.8943)
Ac (0.5856, 0.7500, 0.4324)
Ac (0.7492, 0.2500, 0.7285)
Ac (0.7541, 0.7500, 0.2168)
Ac (0.9012, 0.2500, 0.0601)
Ac (0.9588, 0.7500, 0.6165)
Ag (0.2068, 0.7500, 0.5666)
Ag (0.7932, 0.2500, 0.4334)
Ir (0.0058, 0.2500, 0.7804)
Ir (0.3352, 0.7500, 0.9441)
Ir (0.4163, 0.2500, 0.3389)
Ir (0.5837, 0.7500, 0.6611)
Ir (0.6648, 0.2500, 0.0559)
Ir (0.9942, 0.7500, 0.2196)

=====

3.
Computed, not measured: an optimized crystal structure of Ac6Ag3Ir2 at the GGA-PBE level of DFT.

M_tot	0.0000	μB/atom
formation enthalpy at 0 K	-2.8	eV/f.u.
space-group type	I4/mmm

Lattice parameters (Å, degrees): 12.1308 12.1308 12.1308 152.74 152.74 38.93
Fractional coordinates of all 11 atoms:
Ac (0.0856, 0.5856, 0.5000)
Ac (0.2034, 0.2034, 0.0000)
Ac (0.4144, 0.9144, 0.5000)
Ac (0.5856, 0.0856, 0.5000)
Ac (0.7966, 0.7966, 0.0000)
Ac (0.9144, 0.4144, 0.5000)
Ag (0.3390, 0.3390, 0.0000)
Ag (0.5000, 0.5000, 0.0000)
Ag (0.6610, 0.6610, 0.0000)
Ir (0.0621, 0.0621, 0.0000)
Ir (0.9379, 0.9379, 0.0000)

=====

4.
Computed, not measured: an optimized crystal structure of Ac5Ag2Ir at the GGA-PBE level of DFT.

M_tot	0.0000	μB/atom
formation enthalpy at 0 K	-2.8	eV/f.u.
space-group type	Pnma

Lattice parameters (Å, degrees): 13.0433 9.0630 9.3169 90.00 90.00 90.00
Fractional coordinates of all 32 atoms:
Ac (0.0060, 0.2500, 0.0429)
Ac (0.0740, 0.0371, 0.6749)
Ac (0.0740, 0.4629, 0.6749)
Ac (0.1988, 0.7500, 0.3841)
Ac (0.2107, 0.2500, 0.3438)
Ac (0.2893, 0.7500, 0.8438)
Ac (0.3012, 0.2500, 0.8841)
Ac (0.4260, 0.5371, 0.1749)
Ac (0.4260, 0.9629, 0.1749)
Ac (0.4940, 0.7500, 0.5429)
Ac (0.5060, 0.2500, 0.4571)
Ac (0.5740, 0.0371, 0.8251)
Ac (0.5740, 0.4629, 0.8251)
Ac (0.6988, 0.7500, 0.1159)
Ac (0.7107, 0.2500, 0.1562)
Ac (0.7893, 0.7500, 0.6562)
Ac (0.8012, 0.2500, 0.6159)
Ac (0.9260, 0.5371, 0.3251)
Ac (0.9260, 0.9629, 0.3251)
Ac (0.9940, 0.7500, 0.9571)
Ag (0.1715, 0.5235, 0.0808)
Ag (0.1715, 0.9765, 0.0808)
Ag (0.3285, 0.0235, 0.5808)
Ag (0.3285, 0.4765, 0.5808)
Ag (0.6715, 0.5235, 0.4192)
Ag (0.6715, 0.9765, 0.4192)
Ag (0.8285, 0.0235, 0.9192)
Ag (0.8285, 0.4765, 0.9192)
Ir (0.0057, 0.7500, 0.5580)
Ir (0.4943, 0.2500, 0.0580)
Ir (0.5057, 0.7500, 0.9420)
Ir (0.9943, 0.2500, 0.4420)

=====

5.
Computed, not measured: an optimized crystal structure of Ac2Ag3Ir at the GGA-PBE level of DFT.

M_tot	0.0000	μB/atom
formation enthalpy at 0 K	-1.9	eV/f.u.
space-group type	Fddd

Lattice parameters (Å, degrees): 12.2434 9.8625 9.4810 78.51 52.13 49.36
Fractional coordinates of all 24 atoms:
Ac (0.0057, 0.7443, 0.0057)
Ac (0.2353, 0.5147, 0.2353)
Ac (0.2557, 0.9943, 0.2557)
Ac (0.4853, 0.7647, 0.4853)
Ac (0.5147, 0.2353, 0.5147)
Ac (0.7443, 0.0057, 0.7443)
Ac (0.7647, 0.4853, 0.7647)
Ac (0.9943, 0.2557, 0.9943)
Ag (0.0227, 0.0227, 0.7273)
Ag (0.0845, 0.5046, 0.6682)
Ag (0.2428, 0.6682, 0.5046)
Ag (0.2727, 0.2727, 0.9773)
Ag (0.3318, 0.7572, 0.9155)
Ag (0.4954, 0.9155, 0.7572)
Ag (0.5046, 0.0845, 0.2428)
Ag (0.6682, 0.2428, 0.0845)
Ag (0.7273, 0.7273, 0.0227)
Ag (0.7572, 0.3318, 0.4954)
Ag (0.9155, 0.4954, 0.3318)
Ag (0.9773, 0.9773, 0.2727)
Ir (0.1763, 0.1763, 0.5737)
Ir (0.4263, 0.4263, 0.8237)
Ir (0.5737, 0.5737, 0.1763)
Ir (0.8237, 0.8237, 0.4263)

=====

6.
Computed, not measured: an optimized crystal structure of Ac3AgIr2 at the GGA-PBE level of DFT.

M_tot	0.0000	μB/atom
formation enthalpy at 0 K	-2.5	eV/f.u.
space-group type	P4/mmm

Lattice parameters (Å, degrees): 3.7607 3.7607 11.6716 90.00 90.00 90.00
Fractional coordinates of all 6 atoms:
Ac (0.0000, 0.0000, 0.0000)
Ac (0.0000, 0.0000, 0.3090)
Ac (0.0000, 0.0000, 0.6910)
Ag (0.5000, 0.5000, 0.5000)
Ir (0.5000, 0.5000, 0.1638)
Ir (0.5000, 0.5000, 0.8362)

=====

7.
Computed, not measured: an optimized crystal structure of Ac5Ag4Ir at the GGA-PBE level of DFT.

M_tot	0.0000	μB/atom
formation enthalpy at 0 K	-3.1	eV/f.u.
space-group type	P4/mmm

Lattice parameters (Å, degrees): 3.8696 3.8696 20.0080 90.00 90.00 90.00
Fractional coordinates of all 10 atoms:
Ac (0.0000, 0.0000, 0.0000)
Ac (0.0000, 0.0000, 0.2043)
Ac (0.0000, 0.0000, 0.4134)
Ac (0.0000, 0.0000, 0.5866)
Ac (0.0000, 0.0000, 0.7957)
Ag (0.5000, 0.5000, 0.1022)
Ag (0.5000, 0.5000, 0.3030)
Ag (0.5000, 0.5000, 0.6970)
Ag (0.5000, 0.5000, 0.8978)
Ir (0.5000, 0.5000, 0.5000)

=====

8.
Computed, not measured: an optimized crystal structure of AcAgIr at the GGA-PBE level of DFT.

M_tot	0.0000	μB/atom
polymorph energy (0 for the lowest one)	143	meV/atom
formation enthalpy at 0 K	-0.7	eV/f.u.
space-group type	P-6m2

Lattice parameters (Å, degrees): 4.6268 4.6268 4.0776 90.00 90.00 120.00
Fractional coordinates of all 3 atoms:
Ac (0.0000, 0.0000, 0.0000)
Ag (0.6667, 0.3333, 0.5000)
Ir (0.3333, 0.6667, 0.5000)

=====

9.
Computed, not measured: an optimized crystal structure of AcLa2AgIr at the GGA-PBE level of DFT.

M_tot	0.0000	μB/atom
formation enthalpy at 0 K	-1.4	eV/f.u.
space-group type	P4mm

Lattice parameters (Å, degrees): 5.5787 5.5787 6.0305 90.00 90.00 90.00
Fractional coordinates of all 5 atoms:
Ac (0.0000, 0.0000, 0.0000)
La (0.0000, 0.5000, 0.4716)
La (0.5000, 0.0000, 0.4716)
Ag (0.5000, 0.5000, 0.1410)
Ir (0.0000, 0.0000, 0.5099)

=====

10.
Computed, not measured: an optimized crystal structure of LiAc2AgIr at the GGA-PBE level of DFT.

M_tot	0.0000	μB/atom
formation enthalpy at 0 K	-1.9	eV/f.u.
space-group type	P2_1/m

Lattice parameters (Å, degrees): 8.0572 4.4950 8.0823 90.00 108.79 90.00
Fractional coordinates of all 10 atoms:
Li (0.0610, 0.2500, 0.1576)
Li (0.9390, 0.7500, 0.8424)
Ac (0.2261, 0.7500, 0.5415)
Ac (0.3907, 0.7500, 0.1544)
Ac (0.6093, 0.2500, 0.8456)
Ac (0.7739, 0.2500, 0.4585)
Ag (0.1575, 0.2500, 0.8364)
Ag (0.8425, 0.7500, 0.1636)
Ir (0.3786, 0.2500, 0.3947)
Ir (0.6214, 0.7500, 0.6053)

=====

11.
Computed, not measured: an optimized crystal structure of AcLuAgIr at the GGA-PBE level of DFT.

M_tot	0.0000	μB/atom
formation enthalpy at 0 K	-1.6	eV/f.u.
space-group type	F-43m

Lattice parameters (Å, degrees): 5.1596 5.1596 5.1596 60.00 60.00 60.00
Fractional coordinates of all 4 atoms:
Ac (0.0000, 0.0000, 0.0000)
Lu (0.5000, 0.5000, 0.5000)
Ag (0.7500, 0.7500, 0.7500)
Ir (0.2500, 0.2500, 0.2500)

=====

12.
Computed, not measured: an optimized crystal structure of AcMgAgIr at the GGA-PBE level of DFT.

M_tot	0.0000	μB/atom
formation enthalpy at 0 K	-0.8	eV/f.u.
space-group type	F-43m

Lattice parameters (Å, degrees): 5.0794 5.0794 5.0794 60.00 60.00 60.00
Fractional coordinates of all 4 atoms:
Ac (0.0000, 0.0000, 0.0000)
Mg (0.5000, 0.5000, 0.5000)
Ag (0.2500, 0.2500, 0.2500)
Ir (0.7500, 0.7500, 0.7500)

=====

13.
Computed, not measured: an optimized crystal structure of Ac6Ag3Ir2N at the GGA-PBE level of DFT.

M_tot	0.0000	μB/atom
space-group type	C2/m
formation energy (no corrections)	-0.5043	eV/atom

Lattice parameters (Å, degrees): 7.3673 7.3673 8.1125 98.69 98.69 119.32
Fractional coordinates of all 12 atoms:
Ac (0.0661, 0.3778, 0.1983)
Ac (0.2497, 0.2497, 0.7888)
Ac (0.3778, 0.0661, 0.1983)
Ac (0.6222, 0.9339, 0.8017)
Ac (0.7503, 0.7503, 0.2112)
Ac (0.9339, 0.6222, 0.8017)
Ag (0.1795, 0.8205, 0.5000)
Ag (0.5000, 0.5000, 0.5000)
Ag (0.8205, 0.1795, 0.5000)
Ir (0.3347, 0.6653, 0.0000)
Ir (0.6653, 0.3347, 0.0000)
N (0.0000, 0.0000, 0.0000)

=====

14.
Computed, not measured: an optimized crystal structure of Ac8Ag3Ir3N at the GGA-PBE level of DFT.

M_tot	0.0059	μB/atom
space-group type	C2/m
formation energy (no corrections)	-0.5045	eV/atom

Lattice parameters (Å, degrees): 8.6262 8.6262 9.1859 118.04 118.04 59.96
Fractional coordinates of all 15 atoms:
Ac (0.2237, 0.2237, 0.7000)
Ac (0.2238, 0.7528, 0.7000)
Ac (0.2472, 0.7762, 0.3000)
Ac (0.2618, 0.2618, 0.2857)
Ac (0.7382, 0.7382, 0.7143)
Ac (0.7528, 0.2238, 0.7000)
Ac (0.7762, 0.2472, 0.3000)
Ac (0.7763, 0.7763, 0.3000)
Ag (0.0000, 0.0000, 0.0000)
Ag (0.0000, 0.5000, 0.0000)
Ag (0.5000, 0.0000, 0.0000)
Ir (0.0000, 0.5000, 0.5000)
Ir (0.5000, 0.0000, 0.5000)
Ir (0.5000, 0.5000, 0.5000)
N (0.0000, 0.0000, 0.5000)

=====

15.
Computed, not measured: an optimized crystal structure of AcNdAgIr at the GGA-PBE level of DFT.

M_tot	0.0000	μB/atom
formation enthalpy at 0 K	-1.5	eV/f.u.
space-group type	F-43m

Lattice parameters (Å, degrees): 5.2712 5.2712 5.2712 60.00 60.00 60.00
Fractional coordinates of all 4 atoms:
Ac (0.0000, 0.0000, 0.0000)
Nd (0.5000, 0.5000, 0.5000)
Ag (0.2500, 0.2500, 0.2500)
Ir (0.7500, 0.7500, 0.7500)

=====

16.
Computed, not measured: an optimized crystal structure of Ac4NiAg2Ir at the GGA-PBE level of DFT.

M_tot	0.0000	μB/atom
formation enthalpy at 0 K	-2.9	eV/f.u.
space-group type	P2/m

Lattice parameters (Å, degrees): 7.5551 4.3756 8.1019 90.00 108.24 90.00
Fractional coordinates of all 8 atoms:
Ac (0.2353, 0.0000, 0.2137)
Ac (0.2607, 0.5000, 0.7877)
Ac (0.7393, 0.5000, 0.2123)
Ac (0.7647, 0.0000, 0.7863)
Ni (0.5000, 0.0000, 0.0000)
Ag (0.0000, 0.0000, 0.5000)
Ag (0.5000, 0.5000, 0.5000)
Ir (0.0000, 0.5000, 0.0000)

=====

17.
Computed, not measured: an optimized crystal structure of Ac3NiAgIr at the GGA-PBE level of DFT.

M_tot	0.0000	μB/atom
formation enthalpy at 0 K	-2.6	eV/f.u.
space-group type	P2_1/m

Lattice parameters (Å, degrees): 9.3984 4.3024 9.5356 90.00 105.22 90.00
Fractional coordinates of all 12 atoms:
Ac (0.0686, 0.2500, 0.3547)
Ac (0.2280, 0.2500, 0.9917)
Ac (0.3879, 0.7500, 0.6948)
Ac (0.6121, 0.2500, 0.3052)
Ac (0.7720, 0.7500, 0.0083)
Ac (0.9314, 0.7500, 0.6453)
Ni (0.4686, 0.7500, 0.0519)
Ni (0.5314, 0.2500, 0.9481)
Ag (0.3256, 0.7500, 0.2747)
Ag (0.6744, 0.2500, 0.7253)
Ir (0.1618, 0.2500, 0.6748)
Ir (0.8382, 0.7500, 0.3252)

=====

18.
Computed, not measured: an optimized crystal structure of Ac6NiAgIr2 at the GGA-PBE level of DFT.

M_tot	0.0000	μB/atom
formation enthalpy at 0 K	-4.0	eV/f.u.
space-group type	R3

Lattice parameters (Å, degrees): 8.2586 8.2586 8.2586 55.22 55.22 55.22
Fractional coordinates of all 10 atoms:
Ac (0.0010, 0.3396, 0.6594)
Ac (0.1222, 0.8753, 0.5155)
Ac (0.3396, 0.6594, 0.0010)
Ac (0.5155, 0.1222, 0.8753)
Ac (0.6594, 0.0010, 0.3396)
Ac (0.8753, 0.5155, 0.1222)
Ni (0.9267, 0.9267, 0.9267)
Ag (0.4349, 0.4349, 0.4349)
Ir (0.2530, 0.2530, 0.2530)
Ir (0.7441, 0.7441, 0.7441)